Entry 1:
Here is crystalline Sm4Y4Ho3 at its relaxed geometry from Alexandria. Energies are from PBE.

abc: 3.533 5.634 18.207
angles: 98.89 95.56 90.00
Positions (direct):
1 Sm 0.046 0.047 0.092
2 Sm 0.179 0.680 0.360
3 Sm 0.821 0.320 0.640
4 Sm 0.954 0.953 0.908
5 Y 0.090 0.591 0.181
6 Y 0.233 0.233 0.466
7 Y 0.767 0.767 0.534
8 Y 0.910 0.409 0.819
9 Ho 0.364 0.863 0.726
10 Ho 0.500 0.500 0.000
11 Ho 0.636 0.137 0.274

Properties
Calculated total energy, eV per cell: -57.9
Formation energy from the elements, eV/atom: 0.054
Symmetry: No. 2

***

Entry 2:
Here is crystalline Sm3Y5Ho at its relaxed geometry from Alexandria. Energies are from PBE.

abc: 9.664 9.664 11.494
angles: 110.00 110.00 38.37
Positions (direct):
1 Sm 0.000 0.000 0.000
2 Sm 0.000 0.000 0.500
3 Sm 0.014 0.644 0.624
4 Sm 0.356 0.986 0.876
5 Sm 0.644 0.014 0.124
6 Sm 0.986 0.356 0.376
7 Y 0.112 0.548 0.287
8 Y 0.150 0.534 0.985
9 Y 0.408 0.592 0.750
10 Y 0.452 0.888 0.213
11 Y 0.466 0.850 0.515
12 Y 0.534 0.150 0.485
13 Y 0.548 0.112 0.787
14 Y 0.592 0.408 0.250
15 Y 0.850 0.466 0.015
16 Y 0.888 0.452 0.713
17 Ho 0.112 0.888 0.250
18 Ho 0.888 0.112 0.750

Properties
Calculated total energy, eV per cell: -97.0
Formation energy from the elements, eV/atom: 0.286
Symmetry: No. 15